A relaxed structure of CdSnHg2S4. Source: Alexandria via LeMat-Bulk, functional GGA-PBE.

Cell lengths 8.553, 7.354, 7.213 Å; angles 90.00, 90.00, 90.00 degrees
Space group Pmn2_1 (No. 31)
Asymmetric unit:
1 Cd 0.000 0.179 0.000
2 Sn 0.000 0.835 0.504
3 Hg 0.250 0.335 0.497
4 S 0.000 0.183 0.359
5 S 0.000 0.842 0.908
6 S 0.241 0.338 0.860

Uncorrected formation energy: -256 meV/atom

***

A relaxed structure of MgIn3. Source: Alexandria via LeMat-Bulk, functional GGA-PBE.

Cell lengths 3.3677, 3.3677, 30.9960 Å; angles 90.00, 90.00, 120.00 degrees
Space group R-3m (No. 166, hexagonal axes)
Asymmetric unit:
1 Mg 0.0000 0.0000 0.0000
2 In 0.0000 0.0000 0.2528
3 In 0.0000 0.0000 0.5000

Formation energy: -0.023 eV per atom

***

A relaxed structure of CrFe2AgP. Source: Alexandria via LeMat-Bulk, functional GGA-PBE.

Cell lengths 4.191, 4.191, 4.911 Å; angles 90.00, 90.00, 90.00 degrees
Space group P4/mmm (No. 123)
Asymmetric unit:
1 Cr 0.000 0.000 0.000
2 Fe 0.000 0.500 0.000
3 Ag 0.000 0.000 0.500
4 P 0.500 0.500 0.500

Formation energy: 1.406 eV per atom

***

no.,calculated total energy (eV for the cell shown)
1,-48.16
2,-29.71
3,-27.78